{"formula": "Ac8NiP3Se4", "functional": "GGA-PBE", "state": "relaxed", "lattice": [[4.435, 2.560, 7.341], [-4.435, 2.560, 7.341], [0.000, -5.121, 7.341]], "species": ["Ac", "Ac", "Ac", "Ac", "Ac", "Ac", "Ac", "Ac", "Ni", "P", "P", "P", "Se", "Se", "Se", "Se"], "frac_coords": [[0.244, 0.244, 0.244], [0.247, 0.743, 0.743], [0.257, 0.257, 0.753], [0.257, 0.753, 0.257], [0.743, 0.247, 0.743], [0.743, 0.743, 0.247], [0.753, 0.257, 0.257], [0.756, 0.756, 0.756], [0.500, 0.500, 0.500], [0.000, 0.000, 0.500], [0.000, 0.500, 0.000], [0.500, 0.000, 0.000], [0.000, 0.000, 0.000], [0.000, 0.500, 0.500], [0.500, 0.000, 0.500], [0.500, 0.500, 0.000]], "dos_at_fermi_per_ev_atom": 0.6562, "volume_a3_per_atom": 31.26, "magmom_total_mub_per_cell": 1.084, "raw_formation_energy_ev_per_fu": -24.6}

{"formula": "Ac2SiNi6P", "functional": "GGA-PBE", "state": "relaxed", "lattice": [[3.022, 1.745, 5.319], [-3.022, 1.745, 5.319], [0.000, -3.489, 5.319]], "species": ["Ac", "Ac", "Si", "Ni", "Ni", "Ni", "Ni", "Ni", "Ni", "P"], "frac_coords": [[0.215, 0.215, 0.215], [0.785, 0.785, 0.785], [0.500, 0.500, 0.500], [0.247, 0.247, 0.658], [0.247, 0.658, 0.247], [0.342, 0.753, 0.753], [0.658, 0.247, 0.247], [0.753, 0.342, 0.753], [0.753, 0.753, 0.342], [0.000, 0.000, 0.000]], "dos_at_fermi_per_ev_atom": 0.6676, "volume_a3_per_atom": 16.83, "magmom_total_mub_per_cell": 0.000, "raw_formation_energy_ev_per_fu": -5.4}